VASP calculation (PBE-GGA) on a relaxed CsFe2NiBr8 crystal.

Unit cell a=6.6261 b=6.6261 c=10.3250 alpha=97.39 beta=97.39 gamma=68.48
Fractional coordinates of all 12 atoms:
Cs 0.0000 0.0000 0.0000
Fe 0.3880 0.3880 0.6953
Fe 0.6120 0.6120 0.3047
Ni 0.0000 0.0000 0.5000
Br 0.2230 0.7353 0.3146
Br 0.2336 0.2336 0.5065
Br 0.2647 0.7770 0.6854
Br 0.3213 0.3213 0.9020
Br 0.6787 0.6787 0.0980
Br 0.7353 0.2230 0.3146
Br 0.7664 0.7664 0.4935
Br 0.7770 0.2647 0.6854

Properties
The total magnetic moment comes out at 11.00 μB per formula unit. Its uncorrected energy is -44.7 eV per cell. The space-group type is C2/m, No. 12. The value obtained for the energy relative to the elements, uncorrected is -645 meV per atom.